Record 1
The following is a PBE calculation of a relaxed Cr2CdOs crystal, from Alexandria.

The structure in extended XYZ format:
```
8
Lattice="-0.0382 -2.3151 6.6211 4.2881 -5.2475 -1.8101 4.2423 -2.2410 2.9563" Properties=species:S:1:pos:R:3 pbc="T T T"
Cd 5.3277 -5.6349 1.7759
Cd 2.1250 -3.7813 2.4055
Cr 1.5707 -2.7839 4.9962
Cr 4.5519 -4.2432 4.1157
Cr 3.7379 -4.0086 0.0902
Cr 7.1240 -8.5717 6.3325
Os 0.0000 0.0000 0.0000
Os 3.1646 -4.1687 5.9915
```

## Properties
Formation enthalpy at 0 K ... 88.2 kJ per mole of atoms
Density of states at the Fermi level ... 4.03 states/eV/cell
Total magnetic moment ... 0.0 μB per cell

***

Record 2
The following is a PBE calculation of a relaxed Cr2CdOs crystal, from Alexandria.

The structure in extended XYZ format:
```
4
Lattice="3.7593 0.0000 0.0000 0.0000 3.9066 0.0000 0.0000 0.0000 3.9066" Properties=species:S:1:pos:R:3 pbc="T T T"
Cd 1.8797 0.0000 1.9533
Cr 0.0000 0.0000 0.0000
Cr 0.0000 1.9533 1.9533
Os 1.8797 1.9533 0.0000
```

## Properties
Formation enthalpy at 0 K ... 63.6 kJ per mole of atoms
Density of states at the Fermi level ... 6.30 states/eV/cell
Total magnetic moment ... 1.5 μB per cell

***

Record 3
The following is a PBE calculation of a relaxed CrCdOs crystal, from Alexandria.

The structure in extended XYZ format:
```
3
Lattice="7.4017 0.0077 -0.0051 6.6903 2.6236 0.0048 0.7113 -1.0164 2.4104" Properties=species:S:1:pos:R:3 pbc="T T T"
Os 9.8382 1.4716 0.7661
Cd 14.0388 2.6168 0.0093
Cr 5.0183 0.1577 1.6345
```

## Properties
Formation enthalpy at 0 K ... 49.7 kJ per mole of atoms
Density of states at the Fermi level ... 2.86 states/eV/cell
Relative energy among the computed polymorphs ... 219 meV/atom
Total magnetic moment ... 0.0 μB per cell

***

Record 4
The following is a PBE calculation of a relaxed Cr2CdOs crystal, from Alexandria.

The structure in extended XYZ format:
```
4
Lattice="-0.1801 -2.9803 4.0923 4.3262 -2.3331 1.2255 -2.2156 4.5005 -0.7055" Properties=species:S:1:pos:R:3 pbc="T T T"
Cr 2.1440 -2.7475 2.7499
Cr 4.0753 -5.2225 5.2269
Os -0.1613 -0.5682 3.0229
Cd 2.0919 -0.2446 1.5895
```

## Properties
Formation enthalpy at 0 K ... 59.8 kJ per mole of atoms
Density of states at the Fermi level ... 5.53 states/eV/cell
Total magnetic moment ... 0.0 μB per cell

***

Record 5
The following is a PBE calculation of a relaxed Cr2CdOs crystal, from Alexandria.

The structure in extended XYZ format:
```
4
Lattice="-0.3870 1.6177 2.0785 -1.0732 -2.3992 0.4238 7.6365 -2.7822 3.5873" Properties=species:S:1:pos:R:3 pbc="T T T"
Os 1.1790 -1.0863 2.1480
Cr 0.1710 -0.0623 0.0803
Cr 3.6472 -1.3288 1.7133
Cd 4.9973 -2.4773 3.9416
```

## Properties
Formation enthalpy at 0 K ... 50.8 kJ per mole of atoms
Density of states at the Fermi level ... 5.16 states/eV/cell
Total magnetic moment ... 0.0 μB per cell

***

Record 6
The following is a PBE calculation of a relaxed CrCdOs crystal, from Alexandria.

The structure in extended XYZ format:
```
3
Lattice="2.7728 0.0000 0.0000 -1.3864 2.4013 0.0000 0.0000 0.0000 6.9428" Properties=species:S:1:pos:R:3 pbc="T T T"
Os 0.0000 1.6009 4.4072
Cd 0.0000 0.0000 0.0450
Cr 1.3864 0.8004 2.4906
```

## Properties
Formation enthalpy at 0 K ... 34.4 kJ per mole of atoms
Density of states at the Fermi level ... 2.54 states/eV/cell
Relative energy among the computed polymorphs ... 60 meV/atom
Total magnetic moment ... 0.0 μB per cell

***

| no. | total DFT energy (no corrections) (eV per cell) |
| --- | --- |
| 1 | -55.5 |
| 2 | -28.8 |
| 3 | -20.2 |
| 4 | -28.9 |
| 5 | -29.3 |
| 6 | -20.7 |